Here is an optimized crystal structure of KCa2GaBi from the Alexandria database. Energies are from GGA-PBE.

The space group is P4/mmm (No. 123) and the conventional cell measures 6.0849, 6.0849 and 5.3935 Å, with angles of 90.00, 90.00 and 90.00 degrees. Symmetry generates all atoms from K at (0.0000, 0.0000, 0.0000), Ca at (0.0000, 0.5000, 0.0000), Ga at (0.0000, 0.0000, 0.5000) and Bi at (0.5000, 0.5000, 0.5000).

The value obtained for the calculated volume is 200 Å³ per cell. As for the total energy: -1.70 eV per atom.

Here is an optimized crystal structure of Ac3Ce2Pb4 from the Alexandria database. Energies are from GGA-PBE.

The space group is C2/m (No. 12) and the conventional cell measures 12.4673, 5.0701 and 10.6652 Å, with angles of 90.00, 96.15 and 90.00 degrees. Symmetry generates all atoms from Ac at (0.0000, 0.0000, 0.0000), Ac at (0.1299, 0.5000, 0.4102), Ce at (0.1805, 0.5000, 0.8028), Pb at (0.0796, 0.0000, 0.6364) and Pb at (0.1671, 0.5000, 0.1040).

The energy above the most stable polymorph in this dataset comes out at 42 meV/atom. The value obtained for the calculated volume is 670 Å³ per cell. As for the total energy: -4.70 eV per atom.

Here is an optimized crystal structure of Tb2DyPd2 from the Alexandria database. Energies are from GGA-PBE.

The space group is P4/mbm (No. 127) and the conventional cell measures 7.8288, 7.8288 and 3.9482 Å, with angles of 90.00, 90.00 and 90.00 degrees. Symmetry generates all atoms from Tb at (0.1659, 0.3341, 0.0000), Dy at (0.0000, 0.0000, 0.5000) and Pd at (0.1316, 0.6316, 0.5000).

The value obtained for the calculated volume is 242 Å³ per cell. As for the total energy: -5.57 eV per atom.

Here is an optimized crystal structure of Ca3YHf from the Alexandria database. Energies are from GGA-PBE.

The space group is Pm-3m (No. 221) and the conventional cell measures 5.7583, 5.7583 and 5.7583 Å, with angles of 90.00, 90.00 and 90.00 degrees. Symmetry generates all atoms from Ca at (0.0000, 0.0000, 0.5000), Y at (0.5000, 0.5000, 0.5000) and Hf at (0.0000, 0.0000, 0.0000).

The energy above the most stable polymorph in this dataset comes out at 0 meV/atom. The value obtained for the calculated volume is 191 Å³ per cell. As for the total energy: -3.58 eV per atom.

Here is an optimized crystal structure of KTcO3 from the Alexandria database. Energies are from GGA-PBE.

The space group is Pnma (No. 62) and the conventional cell measures 7.5922, 10.0134 and 6.0580 Å, with angles of 90.00, 90.00 and 90.00 degrees. Symmetry generates all atoms from K at (0.0000, 0.0000, 0.0000), Tc at (0.1121, 0.2500, 0.4990), O at (0.0447, 0.2500, 0.2240) and O at (0.1674, 0.0993, 0.6241).

The value obtained for the calculated volume is 461 Å³ per cell. The formation energy (no corrections) comes out at -1.347 eV/atom. As for the total energy: -6.61 eV per atom.

Here is an optimized crystal structure of BeTlBi3 from the Alexandria database. Energies are from GGA-PBE.

The space group is Pm-3m (No. 221) and the conventional cell measures 5.2748, 5.2748 and 5.2748 Å, with angles of 90.00, 90.00 and 90.00 degrees. Symmetry generates all atoms from Be at (0.0000, 0.0000, 0.0000), Tl at (0.5000, 0.5000, 0.5000) and Bi at (0.0000, 0.0000, 0.5000).

The energy above the most stable polymorph in this dataset comes out at 0 meV/atom. The value obtained for the calculated volume is 147 Å³ per cell. As for the total energy: -3.17 eV per atom.

Here is an optimized crystal structure of SbPb2Cl from the Alexandria database. Energies are from GGA-PBE.

The space group is Cmmm (No. 65) and the conventional cell measures 4.1262, 5.6441 and 9.8633 Å, with angles of 90.00, 90.00 and 90.00 degrees. Symmetry generates all atoms from Sb at (0.0000, 0.0000, 0.0000), Pb at (0.0000, 0.5000, 0.2638) and Cl at (0.0000, 0.0000, 0.5000).

The energy above the most stable polymorph in this dataset comes out at 176 meV/atom. The value obtained for the calculated volume is 230 Å³ per cell. The formation energy (no corrections) comes out at -0.249 eV/atom. As for the total energy: -3.59 eV per atom.

Here is an optimized crystal structure of SmPaIn from the Alexandria database. Energies are from GGA-PBE.

The space group is P3m1 (No. 156) and the conventional cell measures 5.3544, 5.3544 and 3.1285 Å, with angles of 90.00, 90.00 and 120.00 degrees. Symmetry generates all atoms from Sm at (0.0000, 0.0000, 0.0000), Pa at (0.3333, 0.6667, 0.9965) and In at (0.6667, 0.3333, 0.4965).

The energy above the most stable polymorph in this dataset comes out at 39 meV/atom. The value obtained for the calculated volume is 78 Å³ per cell. As for the total energy: -5.48 eV per atom.

Here is an optimized crystal structure of Al2Ga2CuNi5 from the Alexandria database. Energies are from GGA-PBE.

The space group is P4/mbm (No. 127) and the conventional cell measures 9.8771, 9.8771 and 2.7072 Å, with angles of 90.00, 90.00 and 90.00 degrees. Symmetry generates all atoms from Al at (0.1490, 0.3510, 0.0000), Ga at (0.1457, 0.6457, 0.0000), Cu at (0.0000, 0.0000, 0.0000), Ni at (0.0000, 0.5000, 0.5000) and Ni at (0.1443, 0.8521, 0.5000).

The value obtained for the calculated volume is 264 Å³ per cell. As for the total energy: -4.85 eV per atom.

Here is an optimized crystal structure of YEr2ScSb4 from the Alexandria database. Energies are from GGA-PBE.

The space group is Fmm2 (No. 42) and the conventional cell measures 8.6455, 12.2162 and 8.6451 Å, with angles of 90.00, 90.00 and 90.00 degrees. Symmetry generates all atoms from Y at (0.0000, 0.0000, 0.0000), Er at (0.2500, 0.2500, 0.2481), Sc at (0.0000, 0.0000, 0.5011), Sb at (0.0000, 0.2440, 0.4980) and Sb at (0.2498, 0.0000, 0.2511).

The value obtained for the calculated volume is 913 Å³ per cell. The formation energy (no corrections) comes out at -1.067 eV/atom. As for the total energy: -5.87 eV per atom.

Here is an optimized crystal structure of BaHgPb2F8 from the Alexandria database. Energies are from GGA-PBE.

The space group is P2/m (No. 10) and the conventional cell measures 4.2755, 8.3814 and 5.9622 Å, with angles of 90.00, 90.08 and 90.00 degrees. Symmetry generates all atoms from Ba at (0.0000, 0.0000, 0.0000), Hg at (0.0000, 0.5000, 0.0000), Pb at (0.5000, 0.2638, 0.5000), F at (0.0006, 0.2713, 0.7509), F at (0.4986, 0.5000, 0.2395) and F at (0.5003, 0.0000, 0.2618).

The value obtained for the calculated volume is 214 Å³ per cell. The formation energy (no corrections) comes out at -2.523 eV/atom. As for the total energy: -4.57 eV per atom.

Here is an optimized crystal structure of SiH2F from the Alexandria database. Energies are from GGA-PBE.

The space group is Fm-3m (No. 225) and the conventional cell measures 5.0333, 5.0333 and 5.0333 Å, with angles of 90.00, 90.00 and 90.00 degrees. Symmetry generates all atoms from Si at (0.0000, 0.0000, 0.0000), H at (0.2500, 0.2500, 0.2500) and F at (0.0000, 0.0000, 0.5000).

The energy above the most stable polymorph in this dataset comes out at 525 meV/atom. The value obtained for the calculated volume is 128 Å³ per cell. As for the total energy: -3.14 eV per atom.

- Which formula does entry 7 have?
  SbPb2Cl